Entry 1:
Ho5InRh after structural relaxation. Source: Alexandria, functional PBE-GGA.

a = 6.369 Å, b = 6.369 Å, c = 11.341 Å
α = 74.30°, β = 74.30°, γ = 65.66°
Fractional positions:
Ho 0.960 0.594 0.138
Ho 0.461 0.790 0.951
Ho 0.040 0.406 0.862
Rh 0.000 0.000 0.500
Ho 0.984 0.016 0.250
Ho 0.790 0.461 0.451
Ho 0.016 0.984 0.750
Ho 0.539 0.210 0.049
Rh 0.000 0.000 0.000
Ho 0.594 0.960 0.638
Ho 0.210 0.539 0.549
In 0.540 0.460 0.750
Ho 0.406 0.040 0.362
In 0.460 0.540 0.250

Computed properties:
ΔE_f: -1.8 eV/f.u.
SG: C2/c, No. 15


Entry 2:
Nb3GeOs after structural relaxation. Source: Alexandria, functional PBE-GGA.

a = 4.661 Å, b = 4.661 Å, c = 4.661 Å
α = 90.00°, β = 90.00°, γ = 90.00°
Fractional positions:
Nb 0.000 0.500 0.000
Nb 0.000 0.000 0.500
Os 0.500 0.500 0.500
Ge 0.000 0.000 0.000
Nb 0.500 0.000 0.000

Computed properties:
ΔE_f: 6.1 eV/f.u.
distance to the lowest polymorph of the same formula: 206 meV per atom
SG: Pm-3m, No. 221


Entry 3:
AcSmAl2Hg5 after structural relaxation. Source: Alexandria, functional PBE-GGA.

a = 5.237 Å, b = 5.237 Å, c = 8.508 Å
α = 90.00°, β = 90.00°, γ = 90.00°
Fractional positions:
Ac 0.000 0.000 0.500
Sm 0.000 0.000 0.000
Hg 0.500 0.500 0.500
Hg 0.500 0.000 0.766
Hg 0.500 0.000 0.234
Al 0.500 0.500 0.154
Hg 0.000 0.500 0.234
Hg 0.000 0.500 0.766
Al 0.500 0.500 0.846

Computed properties:
ΔE_f: -1.8 eV/f.u.
SG: P4/mmm, No. 123


Copy entry 3 word for word.
AcSmAl2Hg5 after structural relaxation. Source: Alexandria, functional PBE-GGA.

a = 5.237 Å, b = 5.237 Å, c = 8.508 Å
α = 90.00°, β = 90.00°, γ = 90.00°
Fractional positions:
Ac 0.000 0.000 0.500
Sm 0.000 0.000 0.000
Hg 0.500 0.500 0.500
Hg 0.500 0.000 0.766
Hg 0.500 0.000 0.234
Al 0.500 0.500 0.154
Hg 0.000 0.500 0.234
Hg 0.000 0.500 0.766
Al 0.500 0.500 0.846

Computed properties:
ΔE_f: -1.8 eV/f.u.
SG: P4/mmm, No. 123


ΔE_f of number 1 (Ho5InRh)? -1.8 eV/f.u.